# ScCu2Pt (SCAN, PBEsol geometry)
# Energy (eV per atom): -29.058
# Energy of formation from the pure elements (meV per atom): -351
# N(E_F) (states/eV/cell): 4.17
data_ScCu2Pt
_cell_length_a 5.219
_cell_length_b 8.949
_cell_length_c 2.836
_cell_angle_alpha 90.00
_cell_angle_beta 117.94
_cell_angle_gamma 90.00
_space_group_name_H-M_alt 'C 1 2/m 1'
_space_group_IT_number 12
loop_
_space_group_symop_operation_xyz
'x,y,z'
'-x,-y,-z'
'-x,y,-z'
'x,-y,z'
'x+1/2,y+1/2,z'
'-x+1/2,-y+1/2,-z'
'-x+1/2,y+1/2,-z'
'x+1/2,-y+1/2,z'
loop_
_atom_site_label
_atom_site_fract_x
_atom_site_fract_y
_atom_site_fract_z
_atom_site_occupancy
Sc1 0.000 0.000 0.000 1
Cu1 0.250 0.250 0.500 1
Pt1 0.000 0.500 0.000 1